Record 1
The following is a DFT calculation (PBE) of a relaxed Ga2CuGe crystal.

Cell lengths 4.175, 4.001, 4.001 Å; angles 90.00, 90.00, 90.00 degrees
Positions (direct):
Ge (0.500, 0.500, 0.500)
Cu (0.500, 0.000, 0.000)
Ga (0.000, 0.000, 0.500)
Ga (0.000, 0.500, 0.000)


Record 2
The following is a DFT calculation (PBE) of a relaxed GaCu6Ge crystal.

Cell lengths 4.190, 5.306, 5.306 Å; angles 120.01, 90.00, 90.00 degrees
Positions (direct):
Ga (0.000, 0.083, 0.917)
Cu (0.000, 0.079, 0.415)
Cu (0.000, 0.585, 0.921)
Cu (0.000, 0.585, 0.415)
Cu (0.500, 0.419, 0.084)
Cu (0.500, 0.916, 0.581)
Cu (0.500, 0.916, 0.084)
Ge (0.500, 0.417, 0.583)


Record 3
The following is a DFT calculation (PBE) of a relaxed Ga2Cu8Ge crystal.

Cell lengths 4.403, 6.696, 6.754 Å; angles 60.29, 75.38, 59.38 degrees
Positions (direct):
Ga (0.000, 0.305, 0.389)
Ga (0.000, 0.695, 0.611)
Cu (0.858, 0.101, 0.230)
Cu (0.858, 0.331, 0.770)
Cu (0.311, 0.412, 0.000)
Cu (0.500, 0.792, 0.417)
Cu (0.500, 0.208, 0.583)
Cu (0.689, 0.588, 0.000)
Cu (0.142, 0.669, 0.230)
Cu (0.142, 0.899, 0.770)
Ge (0.500, 0.000, 0.000)


Record 4
The following is a DFT calculation (PBE) of a relaxed Ga2CuGe crystal.

Cell lengths 4.242, 4.242, 8.603 Å; angles 75.73, 75.73, 90.00 degrees
Positions (direct):
Ge (0.000, 0.000, 0.000)
Ge (0.750, 0.250, 0.500)
Cu (0.500, 0.500, 0.000)
Cu (0.250, 0.750, 0.500)
Ga (0.578, 0.125, 0.250)
Ga (0.172, 0.625, 0.250)
Ga (0.375, 0.422, 0.750)
Ga (0.875, 0.828, 0.750)


Record 5
The following is a DFT calculation (PBE) of a relaxed Ga2CuGe2 crystal.

Cell lengths 6.443, 6.443, 4.498 Å; angles 90.00, 90.00, 90.00 degrees
Positions (direct):
Ge (0.355, 0.855, 0.000)
Ge (0.855, 0.645, 0.000)
Ge (0.645, 0.145, 0.000)
Ge (0.145, 0.355, 0.000)
Cu (0.000, 0.000, 0.000)
Cu (0.500, 0.500, 0.000)
Ga (0.169, 0.669, 0.500)
Ga (0.669, 0.831, 0.500)
Ga (0.831, 0.331, 0.500)
Ga (0.331, 0.169, 0.500)


Record 6
The following is a DFT calculation (PBE) of a relaxed GaCuGe2 crystal.

Cell lengths 4.438, 4.438, 8.306 Å; angles 74.51, 74.51, 90.00 degrees
Positions (direct):
Ge (0.573, 0.125, 0.250)
Ge (0.177, 0.625, 0.250)
Ge (0.375, 0.427, 0.750)
Ge (0.875, 0.823, 0.750)
Cu (0.500, 0.500, 0.000)
Cu (0.250, 0.750, 0.500)
Ga (0.000, 0.000, 0.000)
Ga (0.750, 0.250, 0.500)


Number 1: energy relative to the elements 0.6 eV per formula unit, energy -14.20 eV/cell. Number 2: energy relative to the elements -0.4 eV per formula unit, energy -32.57 eV/cell. Number 3: energy relative to the elements 0.4 eV per formula unit, energy -43.03 eV/cell. Number 4: energy relative to the elements 0.5 eV per formula unit, energy -28.62 eV/cell. Number 5: energy relative to the elements 0.8 eV per formula unit, energy -37.09 eV/cell. Number 6: energy relative to the elements 0.6 eV per formula unit, energy -31.52 eV/cell.